First-principles (GGA+U) data for crystalline Li2CrHgF8 at its relaxed geometry, as listed in the Alexandria database.

As for the uncorrected energy: -105.30 eV per cell. For the calculated density, the calculation gives 4.548 g cm⁻³. As for the volume: 305.6 Å³ per cell.

The space group is I-4m2 (No. 119) and the conventional cell measures 6.6413, 6.6413 and 6.9276 Å, with angles of 90.00, 90.00 and 90.00 degrees. The inequivalent atoms are Li at (0.0000, 0.0000, 0.0000), Li at (0.0000, 0.5000, 0.2500), Cr at (0.0000, 0.0000, 0.5000), Hg at (0.0000, 0.5000, 0.7500), F at (0.0000, 0.1734, 0.7859) and F at (0.0000, 0.2853, 0.4404).